DFT (PBE) results for crystalline ReS at its relaxed geometry.

Lattice parameters (Å, degrees): 3.7041 3.7041 3.7041 60.00 60.00 60.00
With the nearest neighbours (Å) after each atom.
Fractional coordinates of all 2 atoms:
Re: 0.0000 0.0000 0.0000  4 S 2.27
S: 0.2500 0.2500 0.2500  4 Re 2.27

Properties
mass density: 10.1 g/cm³
excess energy over the best structure of this formula in the dataset: 0 meV/atom
total moment: 0.1 μB per cell